Here is a geometry-optimized Na2CaC2O6 structure from Alexandria. Energies are from GGA-PBE.

a b c (Å): 5.2354 5.2127 6.7497
angles (deg): 114.50 90.00 120.14
Last column: nearest neighbours and their distance in Å.
Sites, in units of the cell vectors:
Na  0.6940  0.3879  0.1211  4 O 2.51-2.52
Na  0.3060  0.6121  0.8789  4 O 2.51-2.52
Ca  0.5000  0.0000  0.5000  6 O 2.29-2.34
C  0.9485  0.8969  0.7509  3 O 1.28-1.31
C  0.0515  0.1031  0.2491  3 O 1.28-1.31
O  0.7896  0.5791  0.6869  1 C 1.28
O  0.1831  0.9371  0.2155  1 C 1.31
O  0.2460  0.0629  0.7845  1 C 1.31
O  0.8169  0.0629  0.7845  1 C 1.31
O  0.7540  0.9371  0.2155  1 C 1.31
O  0.2104  0.4209  0.3131  1 C 1.28

Values from the calculation:
DFT total energy: -6.75 eV/atom
Crystal system: monoclinic

---

Here is a geometry-optimized Na3CaPCO7 structure from Alexandria. Energies are from GGA-PBE.

a b c (Å): 7.0839 5.2103 9.2491
angles (deg): 89.86 90.00 90.00
Last column: nearest neighbours and their distance in Å.
Sites, in units of the cell vectors:
Na  0.2500  0.7606  0.9149  5 O 2.40-2.56
Na  0.0052  0.2417  0.7455  6 O 2.37-2.62
Na  0.4948  0.2417  0.7455  6 O 2.37-2.62
Na  0.5052  0.7583  0.2545  6 O 2.37-2.62
Na  0.9948  0.7583  0.2545  6 O 2.37-2.62
Na  0.7500  0.2394  0.0851  5 O 2.40-2.56
Ca  0.7500  0.7698  0.6324  6 O 2.28-2.49
Ca  0.2500  0.2302  0.3676  6 O 2.28-2.49
P  0.2500  0.6973  0.5945  4 O 1.56-1.57
P  0.7500  0.3027  0.4055  4 O 1.56-1.57
C  0.7500  0.7373  0.9404  3 O 1.30
C  0.2500  0.2627  0.0596  3 O 1.30
O  0.2500  0.2805  0.9198  1 C 1.30
O  0.7500  0.9622  0.8780  1 C 1.30
O  0.7500  0.5303  0.8612  1 C 1.30
O  0.0729  0.7943  0.6777  1 P 1.56
O  0.4271  0.7943  0.6777  1 P 1.56
O  0.2500  0.3978  0.5946  1 P 1.56
O  0.7500  0.2126  0.5671  1 P 1.57
O  0.2500  0.7874  0.4329  1 P 1.57
O  0.7500  0.6022  0.4054  1 P 1.56
O  0.5729  0.2057  0.3223  1 P 1.56
O  0.9271  0.2057  0.3223  1 P 1.56
O  0.2500  0.4697  0.1388  1 C 1.30
O  0.2500  0.0378  0.1220  1 C 1.30
O  0.7500  0.7195  0.0802  1 C 1.30

Values from the calculation:
DFT total energy: -6.48 eV/atom
Crystal system: monoclinic

---

Here is a geometry-optimized Na3CaPCO7 structure from Alexandria. Energies are from GGA-PBE.

a b c (Å): 7.0227 5.2614 9.3055
angles (deg): 89.68 90.00 90.00
Last column: nearest neighbours and their distance in Å.
Sites, in units of the cell vectors:
Na  0.4862  0.0003  0.0002  6 O 2.38-2.42
Na  0.2356  0.4489  0.1657  5 O 2.31-2.49
Na  0.4873  0.4999  0.4994  4 O 2.38-2.60
Na  0.9873  0.5001  0.5006  4 O 2.38-2.60
Na  0.7356  0.5511  0.8343  5 O 2.31-2.49
Na  0.9862  0.9997  0.9998  6 O 2.38-2.42
Ca  0.7367  0.0036  0.2895  5 O 2.26-2.53
Ca  0.2367  0.9964  0.7105  5 O 2.26-2.53
P  0.2365  0.9881  0.3376  4 O 1.55-1.56
P  0.7365  0.0119  0.6624  4 O 1.55-1.56
C  0.7365  0.5001  0.1411  3 O 1.30-1.31
C  0.2365  0.4999  0.8589  3 O 1.30-1.31
O  0.7365  0.2976  0.0616  1 C 1.30
O  0.7362  0.7246  0.0795  1 C 1.31
O  0.0581  0.0660  0.2469  1 P 1.56
O  0.4151  0.0674  0.2475  1 P 1.56
O  0.7369  0.4838  0.2803  1 C 1.30
O  0.2370  0.6987  0.3689  1 P 1.55
O  0.2358  0.1400  0.4808  1 P 1.56
O  0.7358  0.8600  0.5192  1 P 1.56
O  0.7370  0.3013  0.6311  1 P 1.55
O  0.2369  0.5162  0.7197  1 C 1.30
O  0.9151  0.9326  0.7525  1 P 1.56
O  0.5581  0.9340  0.7531  1 P 1.56
O  0.2362  0.2754  0.9205  1 C 1.31
O  0.2365  0.7024  0.9384  1 C 1.30

Values from the calculation:
DFT total energy: -6.48 eV/atom
Crystal system: monoclinic

---

Here is a geometry-optimized Na2CaPb3C5O15 structure from Alexandria. Energies are from GGA-PBE.

a b c (Å): 6.7628 10.6625 10.7152
angles (deg): 60.16 89.23 88.45
Last column: nearest neighbours and their distance in Å.
Sites, in units of the cell vectors:
Na  0.2058  0.4750  0.0522  5 O 2.36-2.47
Na  0.1863  0.4766  0.4707  6 O 2.37-2.60
Na  0.7058  0.5271  0.9478  5 O 2.36-2.47
Na  0.6863  0.9473  0.5293  6 O 2.37-2.60
Ca  0.1733  0.0503  0.4747  7 O 2.39-2.63
Ca  0.6733  0.5250  0.5253  7 O 2.39-2.63
Pb  0.5029  0.1496  0.6942  9 O 2.64-2.87
Pb  0.5210  0.1627  0.1541  7 O 2.58-2.82
Pb  0.5044  0.6831  0.1485  7 O 2.57-2.83
Pb  0.0029  0.8438  0.3058  9 O 2.64-2.87
Pb  0.0044  0.8315  0.8515  7 O 2.57-2.83
Pb  0.0210  0.3167  0.8459  7 O 2.58-2.82
C  0.9978  0.6701  0.6591  3 O 1.30-1.31
C  0.4978  0.3292  0.3409  3 O 1.30-1.31
C  0.6488  0.9984  0.0033  3 O 1.30
C  0.1488  0.0017  0.9967  3 O 1.30
C  0.9416  0.2058  0.5919  3 O 1.28-1.31
C  0.9554  0.2044  0.2051  3 O 1.28-1.32
C  0.9448  0.5901  0.2063  3 O 1.27-1.32
C  0.4416  0.7977  0.4081  3 O 1.28-1.31
C  0.4448  0.7965  0.7937  3 O 1.27-1.32
C  0.4554  0.4095  0.7949  3 O 1.28-1.32
O  0.8728  0.0866  0.3061  1 C 1.32
O  0.8496  0.6205  0.0878  1 C 1.32
O  0.8434  0.2944  0.6227  1 C 1.31
O  0.8590  0.0869  0.6138  1 C 1.31
O  0.8478  0.6091  0.3037  1 C 1.32
O  0.8573  0.2884  0.0871  1 C 1.31
O  0.3478  0.9128  0.6963  1 C 1.32
O  0.3573  0.3755  0.9129  1 C 1.31
O  0.3590  0.7007  0.3862  1 C 1.31
O  0.3434  0.9171  0.3773  1 C 1.31
O  0.3728  0.3927  0.6939  1 C 1.32
O  0.3496  0.7082  0.9122  1 C 1.32
O  0.0077  0.6016  0.7985  1 C 1.30
O  0.9815  0.5978  0.5906  1 C 1.31
O  0.0041  0.8108  0.5865  1 C 1.30
O  0.5077  0.4002  0.2015  1 C 1.30
O  0.5041  0.3973  0.4135  1 C 1.30
O  0.4815  0.1884  0.4094  1 C 1.31
O  0.1567  0.0730  0.8571  1 C 1.30
O  0.1436  0.0700  0.0688  1 C 1.30
O  0.1373  0.8611  0.0651  1 C 1.30
O  0.6567  0.9301  0.1429  1 C 1.30
O  0.6373  0.9262  0.9349  1 C 1.30
O  0.6436  0.1388  0.9312  1 C 1.30
O  0.1176  0.2338  0.5403  1 C 1.28
O  0.1302  0.2345  0.2254  1 C 1.28
O  0.1238  0.5459  0.2258  1 C 1.27
O  0.6176  0.7741  0.4597  1 C 1.28
O  0.6238  0.7717  0.7742  1 C 1.27
O  0.6302  0.4599  0.7746  1 C 1.28

Values from the calculation:
DFT total energy: -6.88 eV/atom
Crystal system: monoclinic

---

Here is a geometry-optimized NaCa2OsC structure from Alexandria. Energies are from GGA-PBE.

a b c (Å): 5.2288 5.2288 3.9426
angles (deg): 90.00 90.00 90.00
Last column: nearest neighbours and their distance in Å.
Sites, in units of the cell vectors:
Na  0.5000  0.5000  0.5000  8 Ca 3.27
Ca  0.0000  0.5000  0.0000  2 C 2.61
Ca  0.5000  0.0000  0.0000  2 C 2.61
Os  0.0000  0.0000  0.5000  2 C 1.97
C  0.0000  0.0000  0.0000  2 Os 1.97

Values from the calculation:
Energy of formation from the pure elements: 96.1 meV/atom
Crystal system: tetragonal

---

Here is a geometry-optimized Na2CaOsC structure from Alexandria. Energies are from GGA-PBE.

a b c (Å): 5.5262 3.9082 5.5262
angles (deg): 90.00 90.00 90.00
Last column: nearest neighbours and their distance in Å.
Sites, in units of the cell vectors:
Na  0.0000  0.0000  0.5000  2 Os 2.76
Na  0.5000  0.0000  0.0000  2 Os 2.76
Ca  0.5000  0.5000  0.5000  8 Na 3.38
Os  0.0000  0.0000  0.0000  2 C 1.95
C  0.0000  0.5000  0.0000  2 Os 1.95

Values from the calculation:
Energy of formation from the pure elements: 846.5 meV/atom
Crystal system: tetragonal

---

Here is a geometry-optimized NaCa2RhC structure from Alexandria. Energies are from GGA-PBE.

a b c (Å): 5.2534 5.2534 3.9411
angles (deg): 90.00 90.00 90.00
Last column: nearest neighbours and their distance in Å.
Sites, in units of the cell vectors:
Na  0.5000  0.5000  0.5000  8 Ca 3.28
Ca  0.0000  0.5000  0.0000  2 C 2.63
Ca  0.5000  0.0000  0.0000  2 C 2.63
Rh  0.0000  0.0000  0.5000  2 C 1.97
C  0.0000  0.0000  0.0000  2 Rh 1.97

Values from the calculation:
Energy of formation from the pure elements: -66.2 meV/atom
Crystal system: tetragonal

---

Here is a geometry-optimized NaCaRh2C structure from Alexandria. Energies are from GGA-PBE.

a b c (Å): 4.1171 4.1171 4.7090
angles (deg): 90.00 90.00 90.00
Last column: nearest neighbours and their distance in Å.
Sites, in units of the cell vectors:
Na  0.0000  0.0000  0.5000  2 C 2.35
Ca  0.5000  0.5000  0.5000  4 Na 2.91, 8 Rh 3.13
Rh  0.0000  0.5000  0.0000  2 C 2.06
Rh  0.5000  0.0000  0.0000  2 C 2.06
C  0.0000  0.0000  0.0000  4 Rh 2.06

Values from the calculation:
Energy of formation from the pure elements: -43.2 meV/atom
Crystal system: tetragonal

---

Here is a geometry-optimized NaCaRh2C structure from Alexandria. Energies are from GGA-PBE.

a b c (Å): 4.1008 4.1008 4.8739
angles (deg): 90.00 90.00 90.00
Last column: nearest neighbours and their distance in Å.
Sites, in units of the cell vectors:
Na  0.5000  0.5000  0.5000  4 Ca 2.90, 8 Rh 3.18
Ca  0.0000  0.0000  0.5000  2 C 2.44
Rh  0.0000  0.5000  0.0000  2 C 2.05
Rh  0.5000  0.0000  0.0000  2 C 2.05
C  0.0000  0.0000  0.0000  4 Rh 2.05

Values from the calculation:
Energy of formation from the pure elements: -25.4 meV/atom
Crystal system: tetragonal

---

Here is a geometry-optimized NaCa2TeC structure from Alexandria. Energies are from GGA-PBE.

a b c (Å): 5.8474 5.8474 5.4836
angles (deg): 90.00 90.00 90.00
Last column: nearest neighbours and their distance in Å.
Sites, in units of the cell vectors:
Na  0.0000  0.0000  0.5000  2 Te 2.74
Ca  0.0000  0.5000  0.0000  2 Te 2.92
Ca  0.5000  0.0000  0.0000  2 Te 2.92
Te  0.0000  0.0000  0.0000  2 Na 2.74, 4 Ca 2.92
C  0.5000  0.5000  0.5000  8 Ca 4.01, 4 Na 4.13

Values from the calculation:
DFT total energy: -2.73 eV/atom
Crystal system: tetragonal

---

Here is a geometry-optimized NaCa2TiC structure from Alexandria. Energies are from GGA-PBE.

a b c (Å): 6.0283 4.0332 6.0283
angles (deg): 90.00 90.00 90.00
Last column: nearest neighbours and their distance in Å.
Sites, in units of the cell vectors:
Na  0.5000  0.5000  0.5000  8 Ca 3.63, 2 Na 4.03
Ca  0.0000  0.0000  0.5000  2 Ti 3.01
Ca  0.5000  0.0000  0.0000  2 Ti 3.01
C  0.0000  0.5000  0.0000  2 Ti 2.02
Ti  0.0000  0.0000  0.0000  2 C 2.02

Values from the calculation:
Energy of formation from the pure elements: 804.1 meV/atom
Crystal system: tetragonal

---

Here is a geometry-optimized NaCaVC2 structure from Alexandria. Energies are from GGA-PBE.

a b c (Å): 4.0538 4.7554 4.0538
angles (deg): 90.00 90.00 90.00
Last column: nearest neighbours and their distance in Å.
Sites, in units of the cell vectors:
Na  0.0000  0.5000  0.0000  2 V 2.38
Ca  0.5000  0.5000  0.5000  4 Na 2.87, 8 C 3.12
C  0.0000  0.0000  0.5000  2 V 2.03
C  0.5000  0.0000  0.0000  2 V 2.03
V  0.0000  0.0000  0.0000  4 C 2.03

Values from the calculation:
Energy of formation from the pure elements: 1067.9 meV/atom
Crystal system: tetragonal